(1)
First-principles (PBE-GGA) data for a relaxed Fe2MoH crystal, as listed in Alexandria.

a = 5.572 Å, b = 5.572 Å, c = 5.572 Å
α = 90.00°, β = 90.00°, γ = 90.00°
Space group Fm-3m (No. 225)
Unique sites:
Fe  0.250  0.250  0.250
Mo  0.000  0.000  0.000
H  0.000  0.000  0.500

## Properties
calculated total energy	-7.0653	eV/atom
energy above the most stable polymorph in this dataset	0.434	eV per atom

***

(2)
First-principles (PBE-GGA) data for a relaxed Pr3NdIr crystal, as listed in Alexandria.

a = 7.962 Å, b = 6.748 Å, c = 6.489 Å
α = 90.00°, β = 90.00°, γ = 90.00°
Space group Pmn2_1 (No. 31)
Unique sites:
Pr  0.000  0.155  0.000
Pr  0.250  0.317  0.505
Nd  0.000  0.844  0.509
Ir  0.000  0.501  0.255

## Properties
calculated total energy	-5.8232	eV/atom
energy above the most stable polymorph in this dataset	0.000	eV per atom
ΔE_f	-0.230	eV per atom

***

(3)
First-principles (PBE-GGA) data for a relaxed PrBiC crystal, as listed in Alexandria.

a = 5.429 Å, b = 5.424 Å, c = 10.249 Å
α = 90.00°, β = 90.06°, γ = 90.00°
Space group C2/m (No. 12)
Unique sites:
Pr  0.250  0.000  0.125
Bi  0.250  0.000  0.658
C  0.250  0.000  0.880

## Properties
calculated total energy	-5.9780	eV/atom
ΔE_f	-0.017	eV per atom